# 1
VASP calculation (PBE) on a geometry-optimized LaCdAg2 structure.

Geometry as POSCAR:
```
LaCdAg2
1.0
3.492 0.000 0.000
0.000 3.492 0.000
0.000 0.000 7.602
La Cd Ag
1 1 2
direct
0.000 0.000 0.000
0.000 0.000 0.500
0.500 0.500 0.287
0.500 0.500 0.713
```

Energy of formation from the pure elements (eV/atom): -0.1758

# 2
VASP calculation (PBE) on a geometry-optimized DyHoTlTe3 structure.

Geometry as POSCAR:
```
DyHoTlTe3
1.0
2.194 -7.659 0.000
2.194 7.659 0.000
0.000 0.000 12.001
Dy Ho Tl Te
2 2 2 6
direct
0.070 0.930 0.750
0.930 0.070 0.250
0.500 0.500 0.000
0.500 0.500 0.500
0.246 0.754 0.250
0.754 0.246 0.750
0.143 0.857 0.524
0.143 0.857 0.976
0.438 0.562 0.750
0.562 0.438 0.250
0.857 0.143 0.024
0.857 0.143 0.476
```

Energy above the most stable polymorph in this dataset (kJ/mol of atoms): 0.4

Taking the records one at a time from the top gives calculated volume values of 92.7; 201.7 Å³/f.u..